# Ba2HfAs PBE relaxed
data_Ba2HfAs
_chemical_formula_sum 'Ba8 Hf4 As4'
_space_group_name_H-M_alt 'I -4 2 d'
_space_group_IT_number 122
_space_group_name_Hall 'I -4 2bw'
_cell_length_a 11.8992
_cell_length_b 11.8992
_cell_length_c 5.1357
_cell_angle_alpha 90.00
_cell_angle_beta 90.00
_cell_angle_gamma 90.00
loop_
_atom_site_label
_atom_site_fract_x
_atom_site_fract_y
_atom_site_fract_z
Ba1 0.1007 0.2500 0.1250
Hf1 0.0000 0.0000 0.5000
As1 0.0000 0.0000 0.0000
# total DFT energy (no corrections)	-4.63	eV/atom
# magnetization	0.147	μB per atom
# energy of formation	-0.0165	eV per atom


# Cu2Ge2Te PBE relaxed
data_Cu2Ge2Te
_chemical_formula_sum 'Cu4 Ge4 Te2'
_space_group_name_H-M_alt 'P 4/m b m'
_space_group_IT_number 127
_space_group_name_Hall '-P 4 2ab'
_cell_length_a 7.0131
_cell_length_b 7.0131
_cell_length_c 3.7802
_cell_angle_alpha 90.00
_cell_angle_beta 90.00
_cell_angle_gamma 90.00
loop_
_atom_site_label
_atom_site_fract_x
_atom_site_fract_y
_atom_site_fract_z
Cu1 0.1265 0.3735 0.0000
Ge1 0.1496 0.6496 0.5000
Te1 0.0000 0.0000 0.0000
# total DFT energy (no corrections)	-3.89	eV/atom
# magnetization	0.000	μB per atom
# energy relative to the elements, uncorrected	0.228	eV per atom


# PrLuSi2 PBE relaxed
data_PrLuSi2
_chemical_formula_sum 'Pr3 Lu3 Si6'
_space_group_name_H-M_alt 'R -3 m'
_space_group_IT_number 166
_space_group_name_Hall '-R 3 2"'
_cell_length_a 4.5830
_cell_length_b 4.5830
_cell_length_c 15.9259
_cell_angle_alpha 90.00
_cell_angle_beta 90.00
_cell_angle_gamma 120.00
loop_
_atom_site_label
_atom_site_fract_x
_atom_site_fract_y
_atom_site_fract_z
Pr1 0.0000 0.0000 0.0000
Lu1 0.0000 0.0000 0.5000
Si1 0.0000 0.0000 0.2355
# total DFT energy (no corrections)	-5.51	eV/atom
# magnetization	0.000	μB per atom
# energy relative to the elements, uncorrected	-0.474	eV per atom


# Mg2ScPd4 PBE relaxed
data_Mg2ScPd4
_chemical_formula_sum 'Mg4 Sc2 Pd8'
_space_group_name_H-M_alt 'I 4/m m m'
_space_group_IT_number 139
_space_group_name_Hall '-I 4 2'
_cell_length_a 4.1686
_cell_length_b 4.1686
_cell_length_c 14.2275
_cell_angle_alpha 90.00
_cell_angle_beta 90.00
_cell_angle_gamma 90.00
loop_
_atom_site_label
_atom_site_fract_x
_atom_site_fract_y
_atom_site_fract_z
Mg1 0.0000 0.0000 0.2466
Sc1 0.0000 0.0000 0.5000
Pd1 0.0000 0.5000 0.1237
# total DFT energy (no corrections)	-4.94	eV/atom
# magnetization	0.000	μB per atom
# energy of formation	-0.6087	eV per atom


# CePr2Lu PBE relaxed
data_CePr2Lu
_chemical_formula_sum 'Ce3 Pr6 Lu3'
_space_group_name_H-M_alt 'R -3 m'
_space_group_IT_number 166
_space_group_name_Hall '-R 3 2"'
_cell_length_a 3.4736
_cell_length_b 3.4736
_cell_length_c 37.5959
_cell_angle_alpha 90.00
_cell_angle_beta 90.00
_cell_angle_gamma 120.00
loop_
_atom_site_label
_atom_site_fract_x
_atom_site_fract_y
_atom_site_fract_z
Ce1 0.0000 0.0000 0.0000
Pr1 0.0000 0.0000 0.0883
Lu1 0.0000 0.0000 0.5000
# total DFT energy (no corrections)	-4.81	eV/atom
# magnetization	0.213	μB per atom
# energy of formation	0.1945	eV per atom


# AlZnIr3 PBE relaxed
data_AlZnIr3
_chemical_formula_sum 'Al1 Zn1 Ir3'
_space_group_name_H-M_alt 'P m -3 m'
_space_group_IT_number 221
_space_group_name_Hall '-P 4 2 3'
_cell_length_a 4.4534
_cell_length_b 4.4534
_cell_length_c 4.4534
_cell_angle_alpha 90.00
_cell_angle_beta 90.00
_cell_angle_gamma 90.00
loop_
_atom_site_label
_atom_site_fract_x
_atom_site_fract_y
_atom_site_fract_z
Al1 0.0000 0.0000 0.0000
Zn1 0.5000 0.5000 0.5000
Ir1 0.0000 0.0000 0.5000
# total DFT energy (no corrections)	-5.38	eV/atom
# magnetization	0.000	μB per atom
# energy of formation	0.9387	eV per atom